No. 1
VASP calculation (PBE) on an optimized crystal structure of YTaO2F.

## Properties
Formation energy (no corrections) (meV/atom): -1345
Crystal system: tetragonal
Total moment (μB/cell): 2.95

abc: 4.4265 4.4265 4.1679
angles: 90.00 90.00 90.00
Last column: nearest neighbours and their distance in Å.
Space group P4/mmm (No. 123)
Inequivalent atoms, fractional coordinates:
Y (0.0000, 0.0000, 0.0000) (multiplicity 1)  2 F 2.08, 4 O 2.21
Ta (0.5000, 0.5000, 0.5000) (multiplicity 1)  8 O 3.04, 4 F 3.13
O (0.0000, 0.5000, 0.0000) (multiplicity 2)  2 Y 2.21
F (0.0000, 0.0000, 0.5000) (multiplicity 1)  2 Y 2.08

No. 2
VASP calculation (PBE) on an optimized crystal structure of Sr2PrIn3.

## Properties
Crystal system: orthorhombic
ΔE_f (meV/atom): -439
Total moment (μB/cell): 0.00

abc: 5.6512 17.0113 8.0689
angles: 90.00 90.00 90.00
Last column: nearest neighbours and their distance in Å.
Space group Cmmm (No. 65)
Inequivalent atoms, fractional coordinates:
Sr (0.0000, 0.0000, 0.0000) (multiplicity 2)  8 In 3.49-3.62
Sr (0.0000, 0.0000, 0.5000) (multiplicity 2)  8 In 3.45-3.49
Sr (0.0000, 0.3344, 0.0000) (multiplicity 4)  8 In 3.49-3.54
Pr (0.0000, 0.3389, 0.5000) (multiplicity 4)  8 In 3.38-3.42
In (0.0000, 0.1717, 0.2642) (multiplicity 8)  3 Pr 3.41-3.42, 5 Sr 3.49-3.62, 1 In 3.80
In (0.0000, 0.5000, 0.2544) (multiplicity 4)  2 Pr 3.38, 6 Sr 3.45-3.49